[1]
LuZrCrRu (PBE-GGA, relaxed); total DFT energy (no corrections) = -8.1326 eV per atom; formation enthalpy at 0 K = -140 meV per atom
1.0
0.000 3.341 3.341
3.341 0.000 3.341
3.341 3.341 0.000
Lu Zr Cr Ru
1 1 1 1
direct
0.000 0.000 0.000
0.500 0.500 0.500
0.250 0.250 0.250
0.750 0.750 0.750

[2]
Pa2TiCu (PBE-GGA, relaxed); total DFT energy (no corrections) = -7.4782 eV per atom; formation enthalpy at 0 K = 268 meV per atom
1.0
3.556 0.000 0.000
0.000 3.556 0.000
0.000 0.000 6.692
Pa Ti Cu
2 1 1
direct
0.000 0.000 0.226
0.000 0.000 0.774
0.500 0.500 0.500
0.500 0.500 0.000

[3]
ZrAlGa (PBE-GGA, relaxed); total DFT energy (no corrections) = -5.2102 eV per atom; formation enthalpy at 0 K = -104 meV per atom
1.0
0.000 4.853 6.394
3.782 0.000 6.394
3.782 4.853 0.000
Zr Al Ga
4 4 4
direct
0.000 0.000 0.000
0.000 0.000 0.500
0.000 0.500 0.000
0.500 0.000 0.000
0.244 0.506 0.244
0.494 0.756 0.494
0.506 0.244 0.506
0.756 0.494 0.756
0.203 0.203 0.547
0.453 0.453 0.797
0.547 0.547 0.203
0.797 0.797 0.453

[4]
Tb2PuHg3 (PBE-GGA, relaxed); total DFT energy (no corrections) = -4.4371 eV per atom; formation enthalpy at 0 K = -354 meV per atom
1.0
3.722 0.000 0.000
0.000 3.722 0.000
0.000 0.000 11.352
Tb Pu Hg
2 1 3
direct
0.000 0.000 0.165
0.000 0.000 0.835
0.000 0.000 0.500
0.500 0.500 0.000
0.500 0.500 0.323
0.500 0.500 0.677

[5]
Tm3Th7Sc (PBE-GGA, relaxed); total DFT energy (no corrections) = -6.1661 eV per atom; formation enthalpy at 0 K = 351 meV per atom
1.0
6.242 -5.618 0.000
6.242 5.618 0.000
-2.639 0.000 5.156
Tm Th Sc
3 7 1
direct
0.000 0.000 0.000
0.204 0.796 0.500
0.796 0.204 0.500
0.016 0.598 0.807
0.214 0.214 0.703
0.402 0.984 0.193
0.500 0.500 0.500
0.598 0.016 0.807
0.786 0.786 0.297
0.984 0.402 0.193
0.500 0.500 0.000

[6]
ErSc2InN (PBE-GGA, relaxed); energy relative to the elements, uncorrected = -1.0695 eV per atom; total DFT energy (no corrections) = -6.7274 eV per atom
1.0
4.512 0.000 0.000
0.000 4.512 0.000
0.000 0.000 4.717
Er Sc In N
1 2 1 1
direct
0.000 0.000 0.000
0.000 0.500 0.500
0.500 0.000 0.500
0.500 0.500 0.000
0.000 0.000 0.500

Please write out number 1 again, unchanged.
LuZrCrRu (PBE-GGA, relaxed); total DFT energy (no corrections) = -8.1326 eV per atom; formation enthalpy at 0 K = -140 meV per atom
1.0
0.000 3.341 3.341
3.341 0.000 3.341
3.341 3.341 0.000
Lu Zr Cr Ru
1 1 1 1
direct
0.000 0.000 0.000
0.500 0.500 0.500
0.250 0.250 0.250
0.750 0.750 0.750

Q: What is the total DFT energy (no corrections) in the fourth record?
A: -4.4371 eV per atom

Q: Which of these has the highest total DFT energy (no corrections)?
A: Tb2PuHg3

Q: Which formula does entry 5 have?
A: Tm3Th7Sc